Compound: Cr2HO
Source: Alexandria
Functional: PBE+U
Structure: relaxed

Values from the calculation:
Energy above the most stable polymorph in this dataset   0.000 eV per atom
Total moment   9.00 μB/f.u.

```
8
Lattice="-3.548 3.168 0.436 -1.439 -2.163 4.008 0.226 3.213 4.662" Properties=species:S:1:pos:R:3 pbc="T T T"
O -2.907 3.442 3.659
O 0.000 0.000 0.000
H -2.494 0.502 2.222
H -1.853 0.776 5.445
Cr -4.166 3.331 7.306
Cr -1.728 2.745 5.240
Cr -1.355 -0.091 3.733
Cr -2.272 2.451 1.930
```